The following is a DFT calculation (GGA-PBE) of an optimized crystal structure of ScTaN2O.

## Properties
Total moment (Bohr magnetons per cell): 0.002
Uncorrected energy (eV/cell): -97.767

a b c (Å): 3.493 6.153 5.633
angles (deg): 90.00 90.00 90.00
Space group Pmc2_1 (No. 26)
Symmetry-distinct sites (fractional):
Sc 0.000 0.169 0.000 (multiplicity 2)
Ta 0.500 0.311 0.538 (multiplicity 2)
N 0.000 0.174 0.611 (multiplicity 2)
N 0.500 0.406 0.890 (multiplicity 2)
O 0.500 0.136 0.236 (multiplicity 2)